# 1
La5TePb2 after structural relaxation. Source: Alexandria via LeMat-Bulk, functional PBE.

Results
**Symmetry**: Pbam
**D(E_F)**: 17.097 states/eV per cell
**Energy**: -5.152 eV per atom
**Uncorrected formation energy**: -0.75 eV/atom

Structure (extended XYZ):
```
16
Lattice="8.812 0.000 0.000 0.000 13.211 0.000 0.000 0.000 4.783" Properties=species:S:1:pos:R:3 pbc="T T T"
La 0.000 0.000 0.000
La 1.309 3.773 0.000
La 1.885 7.532 2.391
La 2.521 0.926 2.391
La 3.097 10.379 0.000
La 4.406 6.606 0.000
La 5.715 2.833 0.000
La 6.291 12.285 2.391
La 6.927 5.679 2.391
La 7.503 9.438 0.000
Te 0.000 6.606 0.000
Te 4.406 0.000 0.000
Pb 0.718 10.894 2.391
Pb 3.688 4.289 2.391
Pb 5.124 8.922 2.391
Pb 8.094 2.317 2.391
```



# 2
Mg2TlTe after structural relaxation. Source: Alexandria via LeMat-Bulk, functional PBE.

Results
**Symmetry**: R-3m
**D(E_F)**: 1.442 states/eV per cell
**Energy relative to the lowest polymorph listed for this composition**: 0.00 eV/f.u.
**Energy**: -2.458 eV per atom
**Uncorrected formation energy**: -0.28 eV/atom

Structure (extended XYZ):
```
4
Lattice="1.995 1.152 7.997 -1.995 1.152 7.997 0.000 -2.304 7.997" Properties=species:S:1:pos:R:3 pbc="T T T"
Mg 0.000 0.000 5.777
Mg 0.000 0.000 18.213
Tl 0.000 0.000 0.000
Te 0.000 0.000 11.995
```



# 3
CeSc2Mn after structural relaxation. Source: Alexandria via LeMat-Bulk, functional PBE.

Results
**Symmetry**: Pnma
**D(E_F)**: 24.005 states/eV per cell
**E_form**: -0.07 eV/atom
**Energy relative to the lowest polymorph listed for this composition**: 0.00 eV/f.u.
**Energy**: -7.011 eV per atom

Structure (extended XYZ):
```
16
Lattice="6.688 0.000 0.000 0.000 8.837 0.000 0.000 0.000 6.001" Properties=species:S:1:pos:R:3 pbc="T T T"
Ce 0.425 2.209 0.723
Ce 2.919 6.628 3.724
Ce 3.769 2.209 2.278
Ce 6.263 6.628 5.278
Sc 1.149 0.570 3.986
Sc 1.149 3.849 3.986
Sc 2.195 4.988 0.985
Sc 2.195 8.267 0.985
Sc 4.492 0.570 5.017
Sc 4.492 3.849 5.017
Sc 5.539 4.988 2.016
Sc 5.539 8.267 2.016
Mn 0.950 6.628 2.875
Mn 2.394 2.209 5.876
Mn 4.294 6.628 0.126
Mn 5.738 2.209 3.126
```



# 4
LiTeO3 after structural relaxation. Source: Alexandria via LeMat-Bulk, functional PBE.

Results
**Symmetry**: P2_1/m
**D(E_F)**: 1.936 states/eV per cell
**Energy**: -5.219 eV per atom
**Uncorrected formation energy**: -1.23 eV/atom

Structure (extended XYZ):
```
10
Lattice="5.328 0.000 0.000 0.000 3.278 0.000 -1.257 0.000 8.049" Properties=species:S:1:pos:R:3 pbc="T T T"
Li 0.005 0.819 3.126
Li 4.066 2.458 4.923
Te 1.198 0.819 6.432
Te 2.873 2.458 1.617
O -0.166 0.819 5.144
O 0.384 2.458 7.481
O 1.815 0.819 2.335
O 2.256 2.458 5.714
O 3.687 0.819 0.568
O 4.236 2.458 2.905
```



# 5
PmThInPb after structural relaxation. Source: Alexandria via LeMat-Bulk, functional PBE.

Results
**Symmetry**: F-43m
**D(E_F)**: 5.023 states/eV per cell
**E_form**: -0.29 eV/atom
**Energy**: -4.943 eV per atom

Structure (extended XYZ):
```
4
Lattice="0.000 3.903 3.903 3.903 0.000 3.903 3.903 3.903 0.000" Properties=species:S:1:pos:R:3 pbc="T T T"
Pm 0.000 0.000 0.000
Th 3.903 3.903 3.903
In 5.855 5.855 5.855
Pb 1.952 1.952 1.952
```



# 6
LaNd2Ga after structural relaxation. Source: Alexandria via LeMat-Bulk, functional PBE.

Results
**Symmetry**: R3m
**D(E_F)**: 5.242 states/eV per cell
**E_form**: -0.08 eV/atom
**Energy relative to the lowest polymorph listed for this composition**: 0.71 eV/f.u.
**Energy**: -4.448 eV per atom

Structure (extended XYZ):
```
4
Lattice="2.546 1.470 5.846 -2.546 1.470 5.846 0.000 -2.939 5.846" Properties=species:S:1:pos:R:3 pbc="T T T"
La 0.000 0.000 0.000
Nd 0.000 0.000 9.779
Nd 0.000 0.000 13.738
Ga 0.000 0.000 3.359
```